Material: La2NdDy5Ho
Method: DFT, PBE
State: relaxed

Results
formation energy: 0.26 eV/atom
theoretical density: 7.8 g/cm³

Lattice parameters (Å, degrees): 10.0242 10.0242 10.0242 128.58 128.58 75.69
Atoms (fractional coordinates):
La (0.1176, 0.6176, 0.7352)
La (0.3824, 0.1176, 0.5000)
La (0.6176, 0.8824, 0.5000)
La (0.8824, 0.3824, 0.2648)
Nd (0.2500, 0.2500, 0.0000)
Nd (0.7500, 0.7500, 0.0000)
Dy (0.0000, 0.0000, 0.0000)
Dy (0.0745, 0.1435, 0.5000)
Dy (0.1435, 0.6435, 0.0690)
Dy (0.3565, 0.4255, 0.5000)
Dy (0.4255, 0.9255, 0.0690)
Dy (0.5000, 0.5000, 0.0000)
Dy (0.5745, 0.0745, 0.9310)
Dy (0.6435, 0.5745, 0.5000)
Dy (0.8565, 0.3565, 0.9310)
Dy (0.9255, 0.8565, 0.5000)
Ho (0.2500, 0.7500, 0.5000)
Ho (0.7500, 0.2500, 0.5000)